Record 1
The following is a DFT calculation (PBE-GGA) of a geometry-optimized AcEuRh2 structure.

CIF file:
```
data_AcEuRh2
_chemical_formula_sum 'Ac1 Eu1 Rh2'
_cell_length_a 5.039
_cell_length_b 5.039
_cell_length_c 3.725
_cell_angle_alpha 90.00
_cell_angle_beta 90.00
_cell_angle_gamma 90.00
_space_group_name_H-M_alt 'P 1'
_space_group_IT_number 1
_space_group_name_Hall 'P 1'
loop_
_atom_site_label
_atom_site_type_symbol
_atom_site_fract_x
_atom_site_fract_y
_atom_site_fract_z
Ac1 Ac 0.000 0.000 0.000
Eu1 Eu 0.500 0.500 0.000
Rh1 Rh 0.000 0.500 0.500
Rh2 Rh 0.500 0.000 0.500
```

Calculated volume, Å³/f.u.: 94.61
DFT formation energy, eV/atom: -0.4416
DOS(E_F), states/eV/f.u.: 10.6

=====

Record 2
The following is a DFT calculation (PBE-GGA) of a geometry-optimized AcEuRh structure.

CIF file:
```
data_AcEuRh
_chemical_formula_sum 'Ac1 Eu1 Rh1'
_cell_length_a 7.347
_cell_length_b 7.347
_cell_length_c 7.347
_cell_angle_alpha 150.84
_cell_angle_beta 150.84
_cell_angle_gamma 41.71
_space_group_name_H-M_alt 'P 1'
_space_group_IT_number 1
_space_group_name_Hall 'P 1'
loop_
_atom_site_label
_atom_site_type_symbol
_atom_site_fract_x
_atom_site_fract_y
_atom_site_fract_z
Ac1 Ac 0.000 0.000 0.000
Eu1 Eu 0.749 0.749 0.000
Rh1 Rh 0.382 0.382 0.000
```

Calculated volume, Å³/f.u.: 93.92
DFT formation energy, eV/atom: -0.3640
DOS(E_F), states/eV/f.u.: 11.2

=====

Record 3
The following is a DFT calculation (PBE-GGA) of a geometry-optimized AcEuRh structure.

CIF file:
```
data_AcEuRh
_chemical_formula_sum 'Ac1 Eu1 Rh1'
_cell_length_a 4.260
_cell_length_b 4.260
_cell_length_c 6.712
_cell_angle_alpha 90.00
_cell_angle_beta 90.00
_cell_angle_gamma 120.00
_space_group_name_H-M_alt 'P 1'
_space_group_IT_number 1
_space_group_name_Hall 'P 1'
loop_
_atom_site_label
_atom_site_type_symbol
_atom_site_fract_x
_atom_site_fract_y
_atom_site_fract_z
Ac1 Ac 0.000 0.000 0.000
Eu1 Eu 0.333 0.667 0.528
Rh1 Rh 0.667 0.333 0.771
```

Calculated volume, Å³/f.u.: 105.50
DFT formation energy, eV/atom: -0.4531
DOS(E_F), states/eV/f.u.: 13.2

=====

Record 4
The following is a DFT calculation (PBE-GGA) of a geometry-optimized AcEuSbRh structure.

CIF file:
```
data_AcEuSbRh
_chemical_formula_sum 'Ac1 Eu1 Sb1 Rh1'
_cell_length_a 5.235
_cell_length_b 5.235
_cell_length_c 5.235
_cell_angle_alpha 60.00
_cell_angle_beta 60.00
_cell_angle_gamma 60.00
_space_group_name_H-M_alt 'P 1'
_space_group_IT_number 1
_space_group_name_Hall 'P 1'
loop_
_atom_site_label
_atom_site_type_symbol
_atom_site_fract_x
_atom_site_fract_y
_atom_site_fract_z
Ac1 Ac 0.000 0.000 0.000
Eu1 Eu 0.750 0.750 0.750
Sb1 Sb 0.500 0.500 0.500
Rh1 Rh 0.250 0.250 0.250
```

Calculated volume, Å³/f.u.: 101.45
Formation energy (no corrections), eV/atom: -0.404
DOS(E_F), states/eV/f.u.: 3.3

=====

- Look up the calculated volume of the second one.
  93.92 Å³/f.u.

=====

- Look up the calculated volume of the second one.
  93.92 Å³/f.u.

=====

- Which of these has the highest DOS(E_F)?
  number 3